(1)
Entry from Alexandria via LeMat-Bulk: a relaxed structure of SrHfBeBr2 (PBE).

a = 5.2329 Å, b = 5.2329 Å, c = 5.0782 Å
α = 90.00°, β = 90.00°, γ = 90.00°
With the nearest neighbours (Å) after each atom.
Space group P4/mmm (No. 123)
Asymmetric unit:
Sr (0.0000, 0.0000, 0.0000) x1  8 Br 3.65, 4 Be 3.70
Hf (0.5000, 0.5000, 0.5000) x1  2 Be 2.54, 4 Br 2.62
Be (0.5000, 0.5000, 0.0000) x1  2 Hf 2.54
Br (0.0000, 0.5000, 0.5000) x2  2 Hf 2.62

Results
The value obtained for the formation energy without anion corrections is -0.1648 eV per atom. The final energy comes out at -3.91 eV/atom. For the density of states at the Fermi level, the calculation gives 4.34 states/eV/cell. Its theoretical density is 5.2 g/cm³.

(2)
Entry from Alexandria via LeMat-Bulk: a relaxed structure of HfBeTcBr2 (PBE).

a = 4.4610 Å, b = 4.4610 Å, c = 5.3789 Å
α = 90.00°, β = 90.00°, γ = 90.00°
With the nearest neighbours (Å) after each atom.
Space group P4/mmm (No. 123)
Asymmetric unit:
Hf (0.0000, 0.0000, 0.0000) x1  2 Be 2.69
Be (0.0000, 0.0000, 0.5000) x1  4 Br 2.23
Tc (0.5000, 0.5000, 0.0000) x1  4 Hf 3.15, 8 Br 3.49
Br (0.0000, 0.5000, 0.5000) x2  2 Be 2.23

Results
The value obtained for the formation energy without anion corrections is 1.0020 eV per atom. The final energy comes out at -4.48 eV/atom. For the density of states at the Fermi level, the calculation gives 2.65 states/eV/cell. Its theoretical density is 6.9 g/cm³.

(3)
Entry from Alexandria via LeMat-Bulk: a relaxed structure of HfBeTeBr2 (PBE).

a = 4.6131 Å, b = 4.6131 Å, c = 5.4210 Å
α = 90.00°, β = 90.00°, γ = 90.00°
With the nearest neighbours (Å) after each atom.
Space group P4/mmm (No. 123)
Asymmetric unit:
Hf (0.0000, 0.0000, 0.0000) x1  4 Te 3.26, 8 Br 3.56
Be (0.5000, 0.5000, 0.5000) x1  4 Br 2.31
Te (0.5000, 0.5000, 0.0000) x1  2 Be 2.71
Br (0.0000, 0.5000, 0.5000) x2  2 Be 2.31

Results
The value obtained for the formation energy without anion corrections is 0.1399 eV per atom. The final energy comes out at -3.89 eV/atom. For the density of states at the Fermi level, the calculation gives 3.14 states/eV/cell. Its theoretical density is 6.8 g/cm³.

(4)
Entry from Alexandria via LeMat-Bulk: a relaxed structure of BeHgBr2 (PBE).

a = 3.3902 Å, b = 7.7256 Å, c = 9.2460 Å
α = 90.00°, β = 90.00°, γ = 90.00°
With the nearest neighbours (Å) after each atom.
Space group Imm2 (No. 44)
Asymmetric unit:
Be (0.0000, 0.0000, 0.0000) x2  2 Br 2.22
Hg (0.0000, 0.5000, 0.2880) x2  2 Be 2.59, 2 Br 2.83
Br (0.0000, 0.0000, 0.5428) x2  2 Hg 2.83
Br (0.0000, 0.5000, 0.6558) x2  2 Be 2.22

Results
The value obtained for the formation energy without anion corrections is -0.2095 eV per atom. For the excess energy over the best structure of this formula in the dataset, the calculation gives 8.87 kcal/mol of atoms. The final energy comes out at -2.05 eV/atom. For the density of states at the Fermi level, the calculation gives 0.27 states/eV/cell. Its theoretical density is 5.1 g/cm³.

(5)
Entry from Alexandria via LeMat-Bulk: a relaxed structure of BeHgBr2 (PBE).

a = 3.9830 Å, b = 3.9830 Å, c = 15.4919 Å
α = 90.00°, β = 90.00°, γ = 90.00°
With the nearest neighbours (Å) after each atom.
Space group I-4m2 (No. 119)
Asymmetric unit:
Be (0.0000, 0.0000, 0.0000) x2  4 Br 2.82
Hg (0.0000, 0.5000, 0.2500) x2  4 Br 2.82
Br (0.0000, 0.0000, 0.5000) x2  4 Be 2.82
Br (0.0000, 0.5000, 0.7500) x2  4 Hg 2.82

Results
The value obtained for the formation energy without anion corrections is 0.3400 eV per atom. For the excess energy over the best structure of this formula in the dataset, the calculation gives 21.54 kcal/mol of atoms. The final energy comes out at -1.50 eV/atom. For the density of states at the Fermi level, the calculation gives 2.57 states/eV/cell. Its theoretical density is 5.0 g/cm³.

(6)
Entry from Alexandria via LeMat-Bulk: a relaxed structure of BeHgBr2 (PBE).

a = 3.5976 Å, b = 3.5976 Å, c = 25.7563 Å
α = 90.00°, β = 90.00°, γ = 120.00°
With the nearest neighbours (Å) after each atom.
Space group R3m (No. 160, hexagonal axes)
Asymmetric unit:
Be (0.0000, 0.0000, 0.0000) x3  3 Br 2.42
Hg (0.0000, 0.0000, 0.2656) x3  3 Be 2.71, 3 Br 2.86
Br (0.0000, 0.0000, 0.5223) x3  3 Hg 2.86
Br (0.0000, 0.0000, 0.7150) x3  3 Be 2.42

Results
The value obtained for the formation energy without anion corrections is -0.2451 eV per atom. For the excess energy over the best structure of this formula in the dataset, the calculation gives 8.05 kcal/mol of atoms. The final energy comes out at -2.09 eV/atom. Its theoretical density is 6.4 g/cm³.

(7)
Entry from Alexandria via LeMat-Bulk: a relaxed structure of BeHgBr2 (PBE).

a = 3.4085 Å, b = 9.0914 Å, c = 9.1805 Å
α = 90.00°, β = 90.00°, γ = 90.00°
With the nearest neighbours (Å) after each atom.
Space group Cmm2 (No. 35)
Asymmetric unit:
Be (0.0000, 0.0000, 0.0000) x2  2 Br 2.25
Hg (0.0000, 0.5000, 0.2102) x2  2 Be 2.57, 2 Br 2.75
Br (0.0000, 0.0000, 0.4447) x2  2 Hg 2.75
Br (0.0000, 0.5000, 0.8400) x2  2 Be 2.25

Results
The value obtained for the formation energy without anion corrections is -0.1676 eV per atom. For the excess energy over the best structure of this formula in the dataset, the calculation gives 9.83 kcal/mol of atoms. The final energy comes out at -2.01 eV/atom. Its theoretical density is 4.3 g/cm³.

(8)
Entry from Alexandria via LeMat-Bulk: a relaxed structure of BeHgBr4 (PBE).

a = 7.4325 Å, b = 7.4325 Å, c = 9.5319 Å
α = 90.00°, β = 90.00°, γ = 90.00°
With the nearest neighbours (Å) after each atom.
Space group P4_2/mmc (No. 131)
Asymmetric unit:
Be (0.0000, 0.5000, 0.0000) x2  4 Br 2.32
Hg (0.0000, 0.0000, 0.0000) x2  4 Br 2.71
Br (0.2268, 0.2851, 0.0000) x8  1 Be 2.32

Results
The value obtained for the formation energy without anion corrections is -0.4663 eV per atom. For the excess energy over the best structure of this formula in the dataset, the calculation gives 0.00 kcal/mol of atoms. The final energy comes out at -2.25 eV/atom. Its theoretical density is 3.3 g/cm³.

(9)
Entry from Alexandria via LeMat-Bulk: a relaxed structure of BeHgBr2 (PBE).

a = 7.2518 Å, b = 7.2518 Å, c = 17.5419 Å
α = 90.00°, β = 90.00°, γ = 120.00°
With the nearest neighbours (Å) after each atom.
Space group R-3m (No. 166, hexagonal axes)
Asymmetric unit:
Be (0.0000, 0.0000, 0.0000) x3  2 Br 1.95
Hg (0.0000, 0.0000, 0.5000) x3  6 Br 4.30
Br (0.0000, 0.0000, 0.1111) x6  1 Be 1.95

Results
The value obtained for the formation energy without anion corrections is -0.4907 eV per atom. For the excess energy over the best structure of this formula in the dataset, the calculation gives 2.38 kcal/mol of atoms. The final energy comes out at -2.33 eV/atom. For the density of states at the Fermi level, the calculation gives 0.00 states/eV/cell. Its theoretical density is 2.3 g/cm³.

(10)
Entry from Alexandria via LeMat-Bulk: a relaxed structure of BeHgBr2 (PBE).

a = 3.9630 Å, b = 3.9943 Å, c = 7.6868 Å
α = 90.00°, β = 90.00°, γ = 90.00°
With the nearest neighbours (Å) after each atom.
Space group Pmmm (No. 47)
Asymmetric unit:
Be (0.0000, 0.0000, 0.0000) x1  4 Br 2.81
Hg (0.0000, 0.5000, 0.5000) x1  4 Br 2.81
Br (0.5000, 0.0000, 0.5000) x1  4 Hg 2.81
Br (0.5000, 0.5000, 0.0000) x1  4 Be 2.81

Results
The value obtained for the formation energy without anion corrections is 0.3438 eV per atom. For the excess energy over the best structure of this formula in the dataset, the calculation gives 21.63 kcal/mol of atoms. The final energy comes out at -1.50 eV/atom. For the density of states at the Fermi level, the calculation gives 2.53 states/eV/cell. Its theoretical density is 5.0 g/cm³.

(11)
Entry from Alexandria via LeMat-Bulk: a relaxed structure of BeHgBr2 (PBE).

a = 4.7713 Å, b = 3.3054 Å, c = 9.4347 Å
α = 90.00°, β = 97.47°, γ = 90.00°
With the nearest neighbours (Å) after each atom.
Space group P2/m (No. 10)
Asymmetric unit:
Be (0.0000, 0.0000, 0.0000) x1  4 Br 2.29
Hg (0.5000, 0.0000, 0.5000) x1  2 Hg 3.31
Br (0.1104, 0.5000, 0.8490) x2  2 Be 2.29

Results
The value obtained for the formation energy without anion corrections is -0.4743 eV per atom. For the excess energy over the best structure of this formula in the dataset, the calculation gives 2.76 kcal/mol of atoms. The final energy comes out at -2.32 eV/atom. For the density of states at the Fermi level, the calculation gives 0.00 states/eV/cell. Its theoretical density is 4.2 g/cm³.

(12)
Entry from Alexandria via LeMat-Bulk: a relaxed structure of BeHgBr2 (PBE).

a = 13.0767 Å, b = 3.3521 Å, c = 6.4703 Å
α = 90.00°, β = 113.26°, γ = 90.00°
With the nearest neighbours (Å) after each atom.
Space group Cm (No. 8)
Asymmetric unit:
Be (0.0000, 0.0000, 0.0000) x2  4 Br 2.32-2.35, 1 Hg 2.57
Hg (0.3403, 0.5000, 0.1357) x2  1 Be 2.57
Br (0.1067, 0.5000, 0.2448) x2  2 Be 2.35
Br (0.4331, 0.0000, 0.7325) x2  2 Be 2.32

Results
The value obtained for the formation energy without anion corrections is -0.5063 eV per atom. For the excess energy over the best structure of this formula in the dataset, the calculation gives 2.02 kcal/mol of atoms. The final energy comes out at -2.35 eV/atom. For the density of states at the Fermi level, the calculation gives 0.00 states/eV/cell. Its theoretical density is 4.7 g/cm³.

(13)
Entry from Alexandria via LeMat-Bulk: a relaxed structure of BeHgBr2 (PBE).

a = 3.3078 Å, b = 8.2225 Å, c = 11.0414 Å
α = 90.00°, β = 90.00°, γ = 90.00°
With the nearest neighbours (Å) after each atom.
Space group Cmmm (No. 65)
Asymmetric unit:
Be (0.0000, 0.0000, 0.0000) x2  4 Br 2.29
Hg (0.0000, 0.0000, 0.5000) x2  2 Hg 3.31
Br (0.0000, 0.5000, 0.1431) x4  2 Be 2.29

Results
The value obtained for the formation energy without anion corrections is -0.4705 eV per atom. For the excess energy over the best structure of this formula in the dataset, the calculation gives 2.85 kcal/mol of atoms. The final energy comes out at -2.31 eV/atom. For the density of states at the Fermi level, the calculation gives 0.00 states/eV/cell. Its theoretical density is 4.1 g/cm³.

(14)
Entry from Alexandria via LeMat-Bulk: a relaxed structure of BeHgBr4 (PBE).

a = 8.9841 Å, b = 8.9841 Å, c = 8.9841 Å
α = 90.00°, β = 90.00°, γ = 90.00°
With the nearest neighbours (Å) after each atom.
Space group F-43m (No. 216)
Asymmetric unit:
Be (0.0000, 0.0000, 0.0000) x4  12 Br 3.73, 4 Hg 3.89
Hg (0.2500, 0.2500, 0.2500) x4  12 Br 3.72, 4 Be 3.89
Br (0.1248, 0.1248, 0.6248) x16  6 Br 3.17-3.18

Results
The value obtained for the formation energy without anion corrections is 0.8660 eV per atom. For the excess energy over the best structure of this formula in the dataset, the calculation gives 30.72 kcal/mol of atoms. The final energy comes out at -0.92 eV/atom. For the density of states at the Fermi level, the calculation gives 29.16 states/eV/cell. Its theoretical density is 4.8 g/cm³.

(15)
Entry from Alexandria via LeMat-Bulk: a relaxed structure of BeHgBr2 (PBE).

a = 3.5119 Å, b = 3.5119 Å, c = 31.4498 Å
α = 90.00°, β = 90.00°, γ = 120.00°
With the nearest neighbours (Å) after each atom.
Space group R-3m (No. 166, hexagonal axes)
Asymmetric unit:
Be (0.0000, 0.0000, 0.0000) x3  6 Br 2.45
Hg (0.0000, 0.0000, 0.5000) x3  6 Hg 3.51
Br (0.0000, 0.0000, 0.2898) x6  3 Be 2.45

Results
The value obtained for the formation energy without anion corrections is -0.5346 eV per atom. For the excess energy over the best structure of this formula in the dataset, the calculation gives 1.37 kcal/mol of atoms. The final energy comes out at -2.38 eV/atom. For the density of states at the Fermi level, the calculation gives 0.00 states/eV/cell. Its theoretical density is 5.5 g/cm³.

(16)
Entry from Alexandria via LeMat-Bulk: a relaxed structure of BeHgBr2 (PBE).

a = 7.2179 Å, b = 7.2179 Å, c = 7.2179 Å
α = 90.00°, β = 90.00°, γ = 90.00°
With the nearest neighbours (Å) after each atom.
Space group Fm-3m (No. 225)
Asymmetric unit:
Be (0.0000, 0.0000, 0.0000) x4  8 Br 3.13
Hg (0.0000, 0.0000, 0.5000) x4  8 Br 3.13
Br (0.2500, 0.2500, 0.2500) x8  4 Hg 3.13, 4 Be 3.13

Results
The value obtained for the formation energy without anion corrections is 0.4651 eV per atom. For the excess energy over the best structure of this formula in the dataset, the calculation gives 24.43 kcal/mol of atoms. The final energy comes out at -1.38 eV/atom. For the density of states at the Fermi level, the calculation gives 7.92 states/eV/cell. Its theoretical density is 6.5 g/cm³.

(17)
Entry from Alexandria via LeMat-Bulk: a relaxed structure of BeHgBr2 (PBE).

a = 6.6329 Å, b = 3.5501 Å, c = 7.1368 Å
α = 90.00°, β = 113.05°, γ = 90.00°
With the nearest neighbours (Å) after each atom.
Space group Pm (No. 6)
Asymmetric unit:
Be (0.0000, 0.0000, 0.0000) x1  3 Br 1.99-2.18
Hg (0.5398, 0.5000, 0.4744) x1  2 Hg 3.55
Br (0.1882, 0.0000, 0.8415) x1  1 Be 1.99
Br (0.8783, 0.5000, 0.1000) x1  2 Be 2.18

Results
The value obtained for the formation energy without anion corrections is -0.5941 eV per atom. For the excess energy over the best structure of this formula in the dataset, the calculation gives 0.00 kcal/mol of atoms. The final energy comes out at -2.44 eV/atom. For the density of states at the Fermi level, the calculation gives 0.00 states/eV/cell. Its theoretical density is 4.0 g/cm³.

(18)
Entry from Alexandria via LeMat-Bulk: a relaxed structure of Be4HgBr (PBE).

a = 6.9349 Å, b = 6.9349 Å, c = 6.9349 Å
α = 90.00°, β = 90.00°, γ = 90.00°
With the nearest neighbours (Å) after each atom.
Space group F-43m (No. 216)
Asymmetric unit:
Be (0.1217, 0.1217, 0.3783) x16  6 Be 2.39-2.52
Hg (0.2500, 0.2500, 0.7500) x4  12 Be 2.87, 4 Br 3.00
Br (0.0000, 0.0000, 0.0000) x4  12 Be 2.88, 4 Hg 3.00

Results
The value obtained for the formation energy without anion corrections is 0.7181 eV per atom. The final energy comes out at -2.10 eV/atom. For the density of states at the Fermi level, the calculation gives 6.33 states/eV/cell. Its theoretical density is 6.3 g/cm³.

(19)
Entry from Alexandria via LeMat-Bulk: a relaxed structure of BeHgBr3 (PBE).

a = 4.9271 Å, b = 4.9271 Å, c = 4.9271 Å
α = 90.00°, β = 90.00°, γ = 90.00°
With the nearest neighbours (Å) after each atom.
Space group Pm-3m (No. 221)
Asymmetric unit:
Be (0.0000, 0.0000, 0.0000) x1  6 Br 2.46
Hg (0.5000, 0.5000, 0.5000) x1  12 Br 3.48
Br (0.0000, 0.0000, 0.5000) x3  2 Be 2.46

Results
The value obtained for the formation energy without anion corrections is -0.2304 eV per atom. For the excess energy over the best structure of this formula in the dataset, the calculation gives 0.00 kcal/mol of atoms. The final energy comes out at -2.04 eV/atom. For the density of states at the Fermi level, the calculation gives 3.04 states/eV/cell. Its theoretical density is 6.2 g/cm³.

(20)
Entry from Alexandria via LeMat-Bulk: a relaxed structure of BeHgBr2 (PBE).

a = 3.2552 Å, b = 3.2552 Å, c = 10.0173 Å
α = 90.00°, β = 90.00°, γ = 90.00°
With the nearest neighbours (Å) after each atom.
Space group P4/mmm (No. 123)
Asymmetric unit:
Be (0.0000, 0.0000, 0.0000) x1  8 Br 2.77
Hg (0.0000, 0.0000, 0.5000) x1  4 Hg 3.26
Br (0.5000, 0.5000, 0.1538) x2  4 Be 2.77, 1 Br 3.08

Results
The value obtained for the formation energy without anion corrections is 0.0566 eV per atom. For the excess energy over the best structure of this formula in the dataset, the calculation gives 15.00 kcal/mol of atoms. The final energy comes out at -1.79 eV/atom. Its theoretical density is 5.8 g/cm³.